The following is a DFT calculation (GGA-PBE) of an optimized crystal structure of Li3SF.

Cell lengths 3.8655, 3.8655, 3.8655 Å; angles 90.00, 90.00, 90.00 degrees
Closest atoms and distances in Å follow each position.
Space group Pm-3m (No. 221)
One atom of each set of equivalent atoms:
1 Li 0.0000 0.0000 0.5000  2 F 1.93
2 S 0.5000 0.5000 0.5000  12 Li 2.73
3 F 0.0000 0.0000 0.0000  6 Li 1.93

Calculated values
formation energy from raw total energies: -1.916 eV per atom
magnetization: 0.000 μB per cell
theoretical density: 2067 kg/m3